A relaxed structure of ZnW2Se. Source: Alexandria via LeMat-Bulk, functional PBE.

The space group is F-43m (No. 216) and the conventional cell measures 6.388, 6.388 and 6.388 Å, with angles of 90.00, 90.00 and 90.00 degrees. Symmetry generates all atoms from Zn at (0.000, 0.000, 0.000), W at (0.000, 0.000, 0.500), W at (0.250, 0.250, 0.750) and Se at (0.250, 0.250, 0.250).

The distance to the lowest polymorph of the same formula is 316 meV per atom. As for the uncorrected energy: -7.055 eV/atom. As for the formation energy from raw total energies: 2.45 eV/f.u. As for the density of states at the Fermi level: 0.45 states/eV per atom.

=====

A relaxed structure of DyYCdIn. Source: Alexandria via LeMat-Bulk, functional PBE.

The space group is F-43m (No. 216) and the conventional cell measures 7.502, 7.502 and 7.502 Å, with angles of 90.00, 90.00 and 90.00 degrees. Symmetry generates all atoms from Dy at (0.000, 0.000, 0.000), Y at (0.000, 0.000, 0.500), Cd at (0.250, 0.250, 0.250) and In at (0.250, 0.250, 0.750).

As for the uncorrected energy: -4.106 eV/atom. For the formation energy, the calculation gives -0.43 eV per atom. As for the density of states at the Fermi level: 0.98 states/eV per atom.

=====

A relaxed structure of AlInAg2. Source: Alexandria via LeMat-Bulk, functional PBE.

The space group is F-43m (No. 216) and the conventional cell measures 6.800, 6.800 and 6.800 Å, with angles of 90.00, 90.00 and 90.00 degrees. Symmetry generates all atoms from Al at (0.000, 0.000, 0.000), In at (0.250, 0.250, 0.750), Ag at (0.000, 0.000, 0.500) and Ag at (0.250, 0.250, 0.250).

As for the uncorrected energy: -2.903 eV/atom. For the formation energy, the calculation gives 0.14 eV per atom. As for the density of states at the Fermi level: 0.61 states/eV per atom.